Cr2RuPb | PBE | optimized geometry

Properties
M_tot, μB/f.u.: 0.55
Space-group type: Pmm2
Formation energy, eV/f.u.: 1.98
Calculated total energy, eV/atom: -7.56
D(E_F), states/eV/cell: 3.55

Unit cell a=3.0868 b=3.4792 c=6.0700 alpha=90.00 beta=90.00 gamma=90.00
Site moments in Bohr magnetons follow the coordinates.
Fractional positions:
1 Ru 0.5000 0.5000 0.7723  0.20
2 Cr 0.5000 0.5000 0.2106  2.79
3 Cr 0.0000 0.0000 0.0117  -2.48
4 Pb 0.0000 0.0000 0.5054  -0.02



Dy6As2SeS3 | PBE | optimized geometry

Properties
Formation energy (no corrections), eV per atom: -1.828
M_tot, μB/f.u.: 0.00
Space-group type: C2/m
Calculated total energy, eV/atom: -6.23
D(E_F), states/eV/cell: 4.08

Unit cell a=4.0084 b=8.0096 c=8.9593 alpha=102.69 beta=102.93 gamma=90.00
Fractional positions:
1 As 0.1657 0.3315 0.3315
2 As 0.8343 0.6685 0.6685
3 Dy 0.6719 0.0839 0.3438
4 Dy 0.9993 0.2633 0.9985
5 Dy 0.3281 0.9161 0.6562
6 Dy 0.3337 0.4147 0.6674
7 Dy 0.0007 0.7367 0.0015
8 Dy 0.6663 0.5853 0.3326
9 Se 0.5000 0.0000 0.0000
10 S 0.1650 0.8337 0.3300
11 S 0.8350 0.1663 0.6700
12 S 0.5000 0.5000 0.0000



Rb2ZrCrS4 | PBE | optimized geometry

Properties
Formation energy (no corrections), eV per atom: -1.126
M_tot, μB/f.u.: 4.00
Space-group type: I-4
Calculated total energy, eV/atom: -5.70
D(E_F), states/eV/cell: 2.02

Unit cell a=6.7906 b=6.7906 c=6.7906 alpha=101.49 beta=113.60 gamma=113.60
Site moments in Bohr magnetons follow the coordinates.
Fractional positions:
1 Zr 0.5000 0.2500 0.7500  0.15
2 Rb 0.5000 0.7500 0.2500  0.00
3 Rb 0.0000 0.0000 0.0000  0.01
4 S 0.1224 0.2618 0.6677  -0.03
5 S 0.5940 0.3323 0.4547  -0.03
6 S 0.4060 0.8607 0.7382  -0.03
7 S 0.8776 0.5453 0.1393  -0.03
8 Cr 0.0000 0.5000 0.5000  3.41



Er3CdN | PBE | optimized geometry

Properties
Formation energy (no corrections), eV per atom: -0.875
M_tot, μB/f.u.: 0.00
Space-group type: Pm-3m
Calculated total energy, eV/atom: -5.46
D(E_F), states/eV/cell: 4.52

Unit cell a=4.7729 b=4.7729 c=4.7729 alpha=90.00 beta=90.00 gamma=90.00
Fractional positions:
1 Er 0.0000 0.5000 0.0000
2 Er 0.0000 0.0000 0.5000
3 Er 0.5000 0.0000 0.0000
4 N 0.0000 0.0000 0.0000
5 Cd 0.5000 0.5000 0.5000



BaTa3As | PBE | optimized geometry

Properties
ΔE to the lowest computed polymorph, meV per atom: 2002.1
M_tot, μB/f.u.: 0.00
Space-group type: Pm-3m
Formation energy, eV/f.u.: 14.99
Calculated total energy, eV/atom: -5.43
D(E_F), states/eV/cell: 2.82

Unit cell a=5.0824 b=5.0824 c=5.0824 alpha=90.00 beta=90.00 gamma=90.00
Fractional positions:
1 Ta 0.0000 0.5000 0.0000
2 Ta 0.0000 0.0000 0.5000
3 Ta 0.5000 0.0000 0.0000
4 Ba 0.0000 0.0000 0.0000
5 As 0.5000 0.5000 0.5000



CsTl2TePt | PBE | optimized geometry

Properties
Formation energy (no corrections), eV per atom: -0.212
ΔE to the lowest computed polymorph, meV per atom: 54.4
M_tot, μB/f.u.: 0.01
Space-group type: P4/mmm
Calculated total energy, eV/atom: -3.17
D(E_F), states/eV/cell: 5.00

Unit cell a=5.3714 b=5.3714 c=6.4245 alpha=90.00 beta=90.00 gamma=90.00
Fractional positions:
1 Tl 0.5000 0.0000 0.0000
2 Tl 0.0000 0.5000 0.0000
3 Cs 0.0000 0.0000 0.5000
4 Te 0.5000 0.5000 0.5000
5 Pt 0.0000 0.0000 0.0000